No. 1
VASP calculation (PBE-GGA) on a geometry-optimized Ag2OsF7 structure.

Cell: 7.395 7.395 9.247 Å, 126.03 126.03 51.50°
Positions (direct):
Ag 0.108 0.277 0.276
Ag 0.277 0.108 0.776
Ag 0.723 0.892 0.224
Ag 0.892 0.723 0.724
Os 0.372 0.628 0.250
Os 0.628 0.372 0.750
F 0.066 0.934 0.250
F 0.139 0.549 0.220
F 0.254 0.555 0.974
F 0.262 0.503 0.642
F 0.445 0.746 0.526
F 0.451 0.861 0.280
F 0.497 0.738 0.858
F 0.503 0.262 0.142
F 0.549 0.139 0.720
F 0.555 0.254 0.474
F 0.738 0.497 0.358
F 0.746 0.445 0.026
F 0.861 0.451 0.780
F 0.934 0.066 0.750

* crystal system: monoclinic
* E: -4.387 eV per atom

No. 2
VASP calculation (PBE-GGA) on a geometry-optimized NaH6CN2ClO2 structure.

Cell: 17.628 6.648 5.144 Å, 90.00 90.00 90.00°
Positions (direct):
Na 0.000 0.012 0.000
Na 0.000 0.487 0.995
Na 0.500 0.513 0.495
Na 0.500 0.988 0.500
H 0.043 0.251 0.472
H 0.044 0.754 0.566
H 0.167 0.482 0.511
H 0.178 0.020 0.035
H 0.239 0.860 0.426
H 0.245 0.621 0.104
H 0.255 0.379 0.604
H 0.261 0.140 0.926
H 0.322 0.980 0.535
H 0.333 0.518 0.011
H 0.456 0.246 0.066
H 0.457 0.749 0.972
H 0.543 0.749 0.972
H 0.544 0.246 0.066
H 0.667 0.518 0.011
H 0.678 0.980 0.535
H 0.739 0.140 0.926
H 0.745 0.379 0.604
H 0.755 0.621 0.104
H 0.761 0.860 0.426
H 0.822 0.020 0.035
H 0.833 0.482 0.511
H 0.956 0.754 0.566
H 0.957 0.251 0.472
C 0.161 0.254 0.781
C 0.339 0.746 0.281
C 0.661 0.746 0.281
C 0.839 0.254 0.781
N 0.197 0.385 0.625
N 0.204 0.132 0.931
N 0.296 0.868 0.431
N 0.303 0.615 0.125
N 0.697 0.615 0.125
N 0.704 0.868 0.431
N 0.796 0.132 0.931
N 0.803 0.385 0.625
Cl 0.119 0.743 0.232
Cl 0.381 0.257 0.732
Cl 0.619 0.257 0.732
Cl 0.881 0.743 0.232
O 0.000 0.250 0.347
O 0.000 0.753 0.686
O 0.088 0.246 0.789
O 0.412 0.754 0.289
O 0.500 0.247 0.186
O 0.500 0.750 0.847
O 0.588 0.754 0.289
O 0.912 0.246 0.789

* crystal system: orthorhombic
* E: -5.407 eV per atom

No. 3
VASP calculation (PBE-GGA) on a geometry-optimized Pr2NdAl9 structure.

Cell: 9.468 9.468 9.468 Å, 35.03 35.03 35.03°
Positions (direct):
Pr 0.141 0.141 0.141
Pr 0.859 0.859 0.859
Nd 0.000 0.000 0.000
Al 0.075 0.586 0.586
Al 0.335 0.335 0.335
Al 0.414 0.414 0.925
Al 0.414 0.925 0.414
Al 0.500 0.500 0.500
Al 0.586 0.075 0.586
Al 0.586 0.586 0.075
Al 0.665 0.665 0.665
Al 0.925 0.414 0.414

* energy of formation from the pure elements: -375 meV per atom
* crystal system: trigonal
* E: -4.376 eV per atom

No. 4
VASP calculation (PBE-GGA) on a geometry-optimized Sm3PbSeBr structure.

Cell: 8.802 4.124 10.509 Å, 90.00 107.94 90.00°
Positions (direct):
Sm 0.161 0.250 0.487
Sm 0.174 0.250 0.099
Sm 0.336 0.750 0.839
Sm 0.664 0.250 0.161
Sm 0.826 0.750 0.901
Sm 0.839 0.750 0.513
Pb 0.029 0.250 0.760
Pb 0.971 0.750 0.240
Se 0.414 0.750 0.128
Se 0.586 0.250 0.872
Br 0.404 0.750 0.581
Br 0.596 0.250 0.419

* crystal system: monoclinic
* E: -4.997 eV per atom

No. 5
VASP calculation (PBE-GGA) on a geometry-optimized ErMgTlPd structure.

Cell: 7.007 7.007 7.007 Å, 90.00 90.00 90.00°
Positions (direct):
Er 0.000 0.000 0.000
Er 0.000 0.500 0.500
Er 0.500 0.000 0.500
Er 0.500 0.500 0.000
Mg 0.000 0.000 0.500
Mg 0.000 0.500 0.000
Mg 0.500 0.000 0.000
Mg 0.500 0.500 0.500
Tl 0.250 0.250 0.750
Tl 0.250 0.750 0.250
Tl 0.750 0.250 0.250
Tl 0.750 0.750 0.750
Pd 0.250 0.250 0.250
Pd 0.250 0.750 0.750
Pd 0.750 0.250 0.750
Pd 0.750 0.750 0.250

* energy of formation from the pure elements: -495 meV per atom
* crystal system: cubic
* E: -3.925 eV per atom

No. 6
VASP calculation (PBE-GGA) on a geometry-optimized Pr2SmS4 structure.

Cell: 7.447 7.447 7.447 Å, 109.83 109.83 108.75°
Positions (direct):
Pr 0.375 0.242 0.367
Pr 0.758 0.125 0.133
Pr 0.875 0.008 0.633
Pr 0.992 0.625 0.867
Sm 0.250 0.750 0.500
Sm 0.500 0.500 0.000
S 0.128 0.381 0.105
S 0.131 0.378 0.605
S 0.276 0.023 0.895
S 0.474 0.869 0.247
S 0.619 0.724 0.747
S 0.622 0.227 0.753
S 0.773 0.526 0.395
S 0.977 0.872 0.253

* crystal system: tetragonal
* distance to the lowest polymorph of the same formula: 0 meV/atom
* E: -6.412 eV per atom

No. 7
VASP calculation (PBE-GGA) on a geometry-optimized TaP2PdCl structure.

Cell: 4.631 4.631 4.582 Å, 90.00 90.00 90.00°
Positions (direct):
Ta 0.000 0.000 0.000
P 0.000 0.500 0.500
P 0.500 0.000 0.500
Pd 0.500 0.500 0.500
Cl 0.500 0.500 0.000

* crystal system: tetragonal
* distance to the lowest polymorph of the same formula: 642 meV/atom
* E: -4.960 eV per atom

No. 8
VASP calculation (PBE-GGA) on a geometry-optimized Hf2ZrMnAs structure.

Cell: 4.800 4.800 4.671 Å, 90.00 90.00 90.00°
Positions (direct):
Hf 0.000 0.500 0.000
Hf 0.500 0.000 0.000
Zr 0.000 0.000 0.500
Mn 0.000 0.000 0.000
As 0.500 0.500 0.500

* energy of formation from the pure elements: 229 meV per atom
* crystal system: tetragonal
* E: -8.226 eV per atom

No. 9
VASP calculation (PBE-GGA) on a geometry-optimized KDy2Cu2Se4 structure.

Cell: 7.902 7.902 7.816 Å, 116.12 116.12 27.89°
Positions (direct):
K 0.000 0.000 0.000
Dy 0.125 0.125 0.561
Dy 0.875 0.875 0.439
Cu 0.300 0.300 0.968
Cu 0.700 0.700 0.032
Se 0.219 0.219 0.270
Se 0.461 0.461 0.273
Se 0.539 0.539 0.727
Se 0.781 0.781 0.730

* crystal system: monoclinic
* E: -4.653 eV per atom

No. 10
VASP calculation (PBE-GGA) on a geometry-optimized LiTbPa4N8 structure.

Cell: 6.550 6.550 6.550 Å, 65.48 65.48 65.48°
Positions (direct):
Li 0.000 0.000 0.000
Tb 0.612 0.612 0.612
Pa 0.393 0.393 0.393
Pa 0.491 0.992 0.992
Pa 0.992 0.491 0.992
Pa 0.992 0.992 0.491
N 0.215 0.710 0.710
N 0.228 0.228 0.768
N 0.228 0.768 0.228
N 0.240 0.240 0.240
N 0.710 0.215 0.710
N 0.710 0.710 0.215
N 0.757 0.757 0.757
N 0.768 0.228 0.228

* crystal system: trigonal
* E: -9.391 eV per atom

- E of number 8 (Hf2ZrMnAs)?
  -8.226 eV per atom